Version 1
The following is a PBE calculation of La2Pr2CBr3Cl2 after structural relaxation, from OQMD.

Structure (POSCAR):
```
La2Pr2CBr3Cl2
1.0
9.033 -2.003 0.000
9.033 2.003 0.000
-2.072 0.000 8.332
La Pr C Br Cl
2 2 1 3 2
Cartesian
-0.537 0.000 2.448
16.531 0.000 5.884
5.542 0.000 3.479
10.452 0.000 4.853
7.997 0.000 4.166
1.285 0.000 7.058
9.033 0.000 0.000
14.709 0.000 1.274
2.387 0.000 2.975
13.607 0.000 5.357
```

Calculated values
Space group: C2/m, No. 12

---

Version 2
The following is a PBE calculation of La2Pr2CBr3Cl2 after structural relaxation, from OQMD.

Structure (POSCAR):
```
La2Pr2CBr3Cl2
1.0
9.302 -2.002 0.000
9.302 2.002 0.000
-2.319 0.000 8.116
La Pr C Br Cl
2 2 1 3 2
Cartesian
2.472 0.000 0.741
13.812 0.000 7.374
8.824 0.000 1.685
7.460 0.000 6.431
0.000 0.000 0.000
-1.159 0.000 4.058
5.777 0.000 1.350
10.507 0.000 6.766
4.803 0.000 5.320
11.481 0.000 2.796
```

Calculated values
Space group: C2/m, No. 12

---

Stability check: which of them is most stable? version 2.

---

Version 1
The following is a PBE calculation of La2Pr2CBrCl4 after structural relaxation, from OQMD.

Structure (POSCAR):
```
La2Pr2CBrCl4
1.0
9.022 -1.991 0.000
9.022 1.991 0.000
-2.288 0.000 8.136
La Pr C Br Cl
2 2 1 1 4
Cartesian
2.460 0.000 0.743
13.296 0.000 7.393
8.522 0.000 1.677
7.233 0.000 6.459
0.000 0.000 0.000
-1.144 0.000 4.068
5.622 0.000 1.211
4.575 0.000 5.342
11.180 0.000 2.794
10.133 0.000 6.926
```

Calculated values
Space group: C2/m, No. 12

---

Version 2
The following is a PBE calculation of La2Pr2CBrCl4 after structural relaxation, from OQMD.

Structure (POSCAR):
```
La2Pr2CBrCl4
1.0
8.992 -1.990 0.000
8.992 1.990 0.000
-2.263 0.000 8.274
La Pr C Br Cl
2 2 1 1 4
Cartesian
-0.629 0.000 2.422
16.350 0.000 5.852
5.427 0.000 3.408
10.294 0.000 4.866
7.860 0.000 4.137
8.992 0.000 0.000
1.087 0.000 6.892
2.280 0.000 2.985
13.441 0.000 5.289
14.634 0.000 1.382
```

Calculated values
Space group: C2/m, No. 12

---

Stability check: which of them is most stable? version 1.

---

Version 1
The following is a PBE calculation of Nd2Sc2CBr2Cl3 after structural relaxation, from OQMD.

Structure (POSCAR):
```
Nd2Sc2CBr2Cl3
1.0
8.790 -1.837 0.000
8.790 1.837 0.000
-1.968 0.000 7.451
Nd Sc C Br Cl
2 2 1 2 3
Cartesian
2.383 0.000 0.670
13.228 0.000 6.781
8.404 0.000 1.484
7.208 0.000 5.967
0.000 0.000 0.000
5.551 0.000 1.471
10.060 0.000 5.980
-0.984 0.000 3.726
4.903 0.000 4.748
10.708 0.000 2.703
```

Calculated values
Space group: C2/m, No. 12

---

Version 2
The following is a PBE calculation of Nd2Sc2CBr2Cl3 after structural relaxation, from OQMD.

Structure (POSCAR):
```
Nd2Sc2CBr2Cl3
1.0
8.625 -1.845 0.000
8.625 1.845 0.000
-1.923 0.000 7.489
Nd Sc C Br Cl
2 2 1 2 3
Cartesian
2.391 0.000 0.623
12.936 0.000 6.865
8.225 0.000 1.482
7.102 0.000 6.007
0.000 0.000 0.000
4.699 0.000 4.666
10.628 0.000 2.823
-0.962 0.000 3.744
5.507 0.000 1.388
9.820 0.000 6.101
```

Calculated values
Space group: C2/m, No. 12

---

Stability check: which of them is most stable? version 1.